Entry 1:
BaHfSi | GGA-PBE | optimized geometry

Results
The calculation puts the total magnetization at 0.1 μB/f.u. As for the final energy: -13.15 eV per cell.

Cell: 5.0930 5.0930 5.0930 Å, 60.00 60.00 60.00°
Sites, in units of the cell vectors:
Hf 0.2500 0.2500 0.2500
Si 0.7500 0.7500 0.7500
Ba 0.0000 0.0000 0.0000



Entry 2:
GaAsAuO | GGA-PBE | optimized geometry

Results
The calculation puts the excess energy over the best structure of this formula in the dataset at 0.656 eV per atom. As for the final energy: -30.42 eV per cell.

Cell: 4.2605 4.2605 8.5006 Å, 90.00 90.00 90.00°
Sites, in units of the cell vectors:
Au 0.0000 0.5000 0.9455
Au 0.5000 0.0000 0.0544
As 0.5000 0.0000 0.6756
O 0.0000 0.0000 0.0000
Ga 0.0000 0.0000 0.5000
Ga 0.5000 0.5000 0.5000
O 0.5000 0.5000 0.0000
As 0.0000 0.5000 0.3244



Entry 3:
BeZnFeNi | GGA-PBE | optimized geometry

Results
The calculation puts the excess energy over the best structure of this formula in the dataset at 0.016 eV per atom. The calculation puts the total magnetization at 3.0 μB/f.u. As for the final energy: -18.96 eV per cell.

Cell: 3.9728 3.9728 3.9728 Å, 60.00 60.00 60.00°
Sites, in units of the cell vectors:
Be 0.2500 0.2500 0.2500
Ni 0.5000 0.5000 0.5000
Zn 0.0000 0.0000 0.0000
Fe 0.7500 0.7500 0.7500



Entry 4:
Tb2LuSn7 | GGA-PBE | optimized geometry

Results
The calculation puts the total magnetization at 0.0 μB/f.u. As for the final energy: -46.78 eV per cell.

Cell: 13.0287 13.0287 4.5236 Å, 90.00 90.00 160.27°
Sites, in units of the cell vectors:
Sn 0.9040 0.0960 0.5000
Sn 0.2903 0.7097 0.5000
Sn 0.4049 0.5951 0.0000
Sn 0.5000 0.5000 0.5000
Tb 0.1871 0.8129 0.0000
Lu 0.0000 0.0000 0.0000
Tb 0.8129 0.1871 0.0000
Sn 0.7097 0.2903 0.5000
Sn 0.5951 0.4049 0.0000
Sn 0.0960 0.9040 0.5000



Entry 5:
NbZnIr2 | GGA-PBE | optimized geometry

Results
For the formation enthalpy at 0 K, the calculation gives -0.02 eV/atom. The calculation puts the total magnetization at 0.0 μB/f.u. As for the final energy: -29.13 eV per cell.

Cell: 4.4363 4.4363 4.4363 Å, 60.00 60.00 60.00°
Sites, in units of the cell vectors:
Ir 0.7500 0.7500 0.7500
Zn 0.5000 0.5000 0.5000
Nb 0.2500 0.2500 0.2500
Ir 0.0000 0.0000 0.0000



Entry 6:
YTc2Pd | GGA-PBE | optimized geometry

Results
For the formation enthalpy at 0 K, the calculation gives 0.05 eV/atom. The calculation puts the total magnetization at 0.5 μB/f.u. As for the final energy: -32.14 eV per cell.

Cell: 4.6063 4.6063 4.6063 Å, 60.00 60.00 60.00°
Sites, in units of the cell vectors:
Pd 0.5000 0.5000 0.5000
Tc 0.7500 0.7500 0.7500
Tc 0.0000 0.0000 0.0000
Y 0.2500 0.2500 0.2500



> Look up the final energy of the third one.

-18.96 eV per cell



> final energy of number 1 (BaHfSi)?

-13.15 eV per cell



> What is the formula in the sixth record?

YTc2Pd



> What is the final energy in the third record?

-18.96 eV per cell